No. 1
The following is a GGA-PBE calculation of an optimized crystal structure of NdU3Se6, from Alexandria via LeMat-Bulk.

abc: 11.5892 4.0737 12.0462
angles: 90.00 108.59 90.00
Fractional positions:
Nd1 0.0474 0.2500 0.1957
Nd2 0.9526 0.7500 0.8043
U1 0.1519 0.2500 0.5801
U2 0.3176 0.7500 0.0044
U3 0.4373 0.2500 0.3340
U4 0.5627 0.7500 0.6660
U5 0.6824 0.2500 0.9956
U6 0.8481 0.7500 0.4199
Se1 0.0868 0.7500 0.4009
Se2 0.1205 0.2500 0.9668
Se3 0.1963 0.7500 0.7522
Se4 0.2607 0.7500 0.2271
Se5 0.3891 0.2500 0.5551
Se6 0.4921 0.2500 0.1204
Se7 0.5079 0.7500 0.8796
Se8 0.6109 0.7500 0.4449
Se9 0.7393 0.2500 0.7729
Se10 0.8037 0.2500 0.2478
Se11 0.8795 0.7500 0.0332
Se12 0.9132 0.2500 0.5991

Values from the calculation:
DOS(E_F)   16.15 states/eV/f.u.
E_tot   -7.240 eV per atom
Uncorrected formation energy   -1.286 eV/atom
Symmetry   No. 11



No. 2
The following is a GGA-PBE calculation of an optimized crystal structure of GaPd2I, from Alexandria via LeMat-Bulk.

abc: 4.7566 4.7566 4.7566
angles: 60.00 60.00 60.00
Fractional positions:
Ga1 0.0000 0.0000 0.0000
Pd1 0.2500 0.2500 0.2500
Pd2 0.7500 0.7500 0.7500
I1 0.5000 0.5000 0.5000

Values from the calculation:
DOS(E_F)   1.39 states/eV/f.u.
Energy relative to the lowest polymorph listed for this composition   0.40 eV per formula unit
E_tot   -3.731 eV per atom
Uncorrected formation energy   0.010 eV/atom
Symmetry   No. 225



No. 3
The following is a GGA-PBE calculation of an optimized crystal structure of CaMgAlZn2, from Alexandria via LeMat-Bulk.

abc: 6.5079 6.5079 6.5079
angles: 141.69 141.69 55.30
Fractional positions:
Ca1 0.0000 0.0000 0.0000
Mg1 0.2500 0.7500 0.5000
Al1 0.7500 0.2500 0.5000
Zn1 0.3923 0.3923 0.0000
Zn2 0.6077 0.6077 0.0000

Values from the calculation:
DOS(E_F)   2.40 states/eV/f.u.
E_tot   -2.203 eV per atom
Symmetry   No. 119
Formation energy from the elements   -21.8 kJ/mol of atoms



No. 4
The following is a GGA-PBE calculation of an optimized crystal structure of DyY3Tm4, from Alexandria via LeMat-Bulk.

abc: 11.8049 11.8049 6.5838
angles: 106.19 106.19 16.83
Fractional positions:
Dy1 0.0000 0.0000 0.0000
Y1 0.3739 0.3739 0.1201
Y2 0.5000 0.5000 0.5000
Y3 0.6261 0.6261 0.8799
Tm1 0.2390 0.2390 0.2437
Tm2 0.3749 0.3749 0.6331
Tm3 0.6251 0.6251 0.3669
Tm4 0.7610 0.7610 0.7563

Values from the calculation:
DOS(E_F)   13.71 states/eV/f.u.
Energy relative to the lowest polymorph listed for this composition   1.37 eV per formula unit
E_tot   -5.064 eV per atom
Symmetry   No. 12
Formation energy from the elements   16.5 kJ/mol of atoms



No. 5
The following is a GGA-PBE calculation of an optimized crystal structure of Li4GaRh, from Alexandria via LeMat-Bulk.

abc: 5.0524 5.0524 5.0301
angles: 118.87 118.87 51.83
Fractional positions:
Li1 0.1629 0.1629 0.4676
Li2 0.1698 0.1698 0.9660
Li3 0.8302 0.8302 0.0340
Li4 0.8371 0.8371 0.5324
Ga1 0.5000 0.5000 0.0000
Rh1 0.5000 0.5000 0.5000

Values from the calculation:
DOS(E_F)   2.44 states/eV/f.u.
Energy relative to the lowest polymorph listed for this composition   0.00 eV per formula unit
E_tot   -3.287 eV per atom
Symmetry   No. 12
Formation energy from the elements   -27.2 kJ/mol of atoms



No. 6
The following is a GGA-PBE calculation of an optimized crystal structure of Nd5Sn15Rh8, from Alexandria via LeMat-Bulk.

abc: 7.3176 4.5063 18.7531
angles: 90.00 90.13 90.00
Fractional positions:
Nd1 0.0000 0.0000 0.0000
Nd2 0.0005 0.5000 0.2837
Nd3 0.4999 0.0000 0.4976
Nd4 0.5024 0.5000 0.7851
Nd5 0.9953 0.5000 0.7106
Sn1 0.0118 0.0000 0.5736
Sn2 0.1338 0.0000 0.1734
Sn3 0.2000 0.5000 0.4548
Sn4 0.2191 0.0000 0.8350
Sn5 0.2816 0.0000 0.3348
Sn6 0.3045 0.5000 0.9623
Sn7 0.3536 0.0000 0.6713
Sn8 0.4812 0.0000 0.0736
Sn9 0.5232 0.5000 0.2075
Sn10 0.6323 0.5000 0.6092
Sn11 0.7020 0.0000 0.3230
Sn12 0.7178 0.5000 0.9480
Sn13 0.7780 0.5000 0.4471
Sn14 0.8039 0.0000 0.8226
Sn15 0.8690 0.5000 0.1100
Rh1 0.0195 0.5000 0.8670
Rh2 0.2524 0.5000 0.1081
Rh3 0.2633 0.5000 0.5953
Rh4 0.4895 0.5000 0.3515
Rh5 0.5177 0.0000 0.9260
Rh6 0.7294 0.0000 0.6764
Rh7 0.7507 0.0000 0.1762
Rh8 0.9853 0.0000 0.4270

Values from the calculation:
DOS(E_F)   10.93 states/eV/f.u.
E_tot   -5.783 eV per atom
Symmetry   No. 6
Formation energy from the elements   -66.3 kJ/mol of atoms